Here is a relaxed CrCdH2I crystal from Alexandria via LeMat-Bulk. Energies are from PBE-GGA.

```
5
Lattice="-1.6643 -0.8121 3.5961 5.5959 -0.1223 2.5621 -0.2666 3.9617 0.7713" Properties=species:S:1:pos:R:3 pbc="T T T"
Cr 0.0000 0.0000 0.0000
I 1.8325 1.5136 3.4648
Cd 2.7979 -0.0612 1.2811
H -0.1333 1.9809 0.3857
H -0.8321 -0.4061 1.7980
```

Properties
Space-group type: No. 123
Fermi-level density of states (states/eV/cell): 1.31
Electronic total energy (eV per atom): -3.300